BaPb2W (PBE, relaxed); volume = 28.1 Å³ per atom; symmetry = No. 225; M_tot = 2.2 μB/f.u.; density of states at the Fermi level = 1.102 states/eV/atom; DFT total energy = -4.81 eV/atom; crystal system = cubic; E_form = 3.05 eV/f.u.
1.0
0.0000 3.8291 3.8291
3.8291 0.0000 3.8291
3.8291 3.8291 0.0000
Ba Pb W
1 2 1
Cartesian
0.0000 0.0000 0.0000
1.9145 1.9145 1.9145
5.7436 5.7436 5.7436
3.8291 3.8291 3.8291